[1]
GGA-PBE Li4AcMg, optimized geometry; uncorrected energy = -13.36 eV for the cell shown; energy of formation = -0.001 eV per atom
1.0
0.000 4.178 4.178
4.178 0.000 4.178
4.178 4.178 0.000
Li Ac Mg
4 1 1
Direct
0.377 0.377 0.377
0.377 0.377 0.869
0.377 0.869 0.377
0.869 0.377 0.377
0.000 0.000 0.000
0.750 0.750 0.750

***

[2]
GGA-PBE Ho6ThS8, optimized geometry; uncorrected energy = -97.50 eV for the cell shown; formation energy from raw total energies = -1972.8 meV/atom
1.0
0.000 5.500 5.500
5.500 0.000 5.500
5.500 5.500 0.000
Ho Th S
6 1 8
Direct
0.000 0.000 0.500
0.000 0.500 0.000
0.000 0.500 0.500
0.500 0.000 0.000
0.500 0.000 0.500
0.500 0.500 0.000
0.000 0.000 0.000
0.250 0.250 0.250
0.259 0.259 0.741
0.259 0.741 0.259
0.259 0.741 0.741
0.741 0.259 0.259
0.741 0.259 0.741
0.741 0.741 0.259
0.750 0.750 0.750

***

[3]
GGA-PBE CaAc4Pm3Se8, optimized geometry; uncorrected energy = -90.26 eV for the cell shown; formation energy from raw total energies = -1855.7 meV/atom
1.0
4.324 2.497 7.100
-4.324 2.497 7.100
0.000 -4.993 7.100
Ca Ac Pm Se
1 4 3 8
Direct
0.000 0.000 0.000
0.000 0.000 0.500
0.000 0.500 0.000
0.500 0.000 0.000
0.500 0.500 0.500
0.000 0.500 0.500
0.500 0.000 0.500
0.500 0.500 0.000
0.242 0.242 0.747
0.242 0.747 0.242
0.253 0.758 0.758
0.256 0.256 0.256
0.744 0.744 0.744
0.747 0.242 0.242
0.758 0.253 0.758
0.758 0.758 0.253

***

[4]
GGA-PBE LaCe3N4, optimized geometry; uncorrected energy = -67.64 eV for the cell shown; ΔE to the lowest computed polymorph = 0.000 eV/atom; formation energy from raw total energies = -1451.1 meV/atom
1.0
3.616 -5.111 0.000
3.616 5.111 0.000
0.000 0.000 3.608
La Ce N
1 3 4
Direct
0.000 0.000 0.000
0.000 0.500 0.500
0.500 0.000 0.500
0.500 0.500 0.000
0.257 0.743 0.000
0.266 0.266 0.500
0.734 0.734 0.500
0.743 0.257 0.000

***

[5]
GGA-PBE Pr2Er3Th2, optimized geometry; uncorrected energy = -37.78 eV for the cell shown; energy of formation = 0.044 eV per atom
1.0
3.600 0.000 0.000
-1.766 5.972 0.000
-0.053 -1.072 10.616
Pr Er Th
2 3 2
Direct
0.214 0.428 0.347
0.786 0.572 0.653
0.363 0.716 0.936
0.500 0.000 0.500
0.637 0.284 0.064
0.066 0.132 0.785
0.934 0.868 0.215

***

[6]
GGA-PBE ErZn17Cd, optimized geometry; uncorrected energy = -28.78 eV for the cell shown; energy of formation = -0.087 eV per atom
1.0
4.465 2.578 4.460
-4.465 2.578 4.460
0.000 -5.155 4.460
Er Zn Cd
1 17 1
Direct
0.000 0.000 0.000
0.009 0.009 0.507
0.009 0.507 0.009
0.166 0.676 0.676
0.316 0.316 0.817
0.316 0.817 0.316
0.363 0.659 0.979
0.363 0.979 0.659
0.507 0.009 0.009
0.563 0.563 0.563
0.659 0.363 0.979
0.659 0.979 0.363
0.676 0.166 0.676
0.676 0.676 0.166
0.762 0.762 0.762
0.817 0.316 0.316
0.979 0.363 0.659
0.979 0.659 0.363
0.266 0.266 0.266